This record from the Alexandria database describes a geometry-optimized NaMn2NbSb structure. The functional is PBE-GGA.

Cell: 5.011 5.011 5.340 Å, 90.00 90.00 90.00°
Element x y z (fractional)
1 Na 0.000 0.000 0.000
2 Mn 0.000 0.500 0.500
3 Mn 0.500 0.000 0.500
4 Nb 0.500 0.500 0.500
5 Sb 0.500 0.500 0.000

Results
- crystal system = tetragonal
- ΔE_f (raw) (meV/atom) = 721.5
- space-group type = No. 123
- spin magnetization (μB/f.u.) = 7.4
- VASP energy (eV per atom) = -6.0485